1.
Tb4CdCuRu2 | PBE | relaxed

Cell: 8.6292 8.6292 8.6292 Å, 33.39 33.39 33.39°
Fractional positions:
Tb1 0.1201 0.1201 0.1201
Tb2 0.3715 0.3715 0.3715
Tb3 0.6285 0.6285 0.6285
Tb4 0.8799 0.8799 0.8799
Cd1 0.5000 0.5000 0.5000
Cu1 0.0000 0.0000 0.0000
Ru1 0.2492 0.2492 0.2492
Ru2 0.7508 0.7508 0.7508

Summary:
- E_tot: -5.56 eV per atom
- Formation energy from the elements: -0.30 eV per atom

=====

2.
NiMoSe3 | PBE | relaxed

Cell: 4.6585 4.6585 4.6585 Å, 90.00 90.00 90.00°
Fractional positions:
Ni1 0.0000 0.0000 0.0000
Mo1 0.5000 0.5000 0.5000
Se1 0.0000 0.0000 0.5000
Se2 0.0000 0.5000 0.0000
Se3 0.5000 0.0000 0.0000

Summary:
- E_tot: -4.76 eV per atom
- Energy relative to the lowest polymorph listed for this composition: 0 meV/atom
- Formation energy without anion corrections: 3.28 eV per formula unit